*a*
Compound: TbGdAsO
Source: OQMD via LeMat-Bulk
Functional: PBE
Structure: optimized geometry

Lattice parameters (Å, degrees): 4.3500 4.3500 8.9025 90.00 90.00 90.00
Sites, in units of the cell vectors:
As 0.5000 0.0000 0.7054
As 0.0000 0.5000 0.2946
Tb 0.5000 0.5000 0.5000
Tb 0.0000 0.0000 0.5000
O 0.0000 0.0000 0.0000
O 0.5000 0.5000 0.0000
Gd 0.5000 0.0000 0.1015
Gd 0.0000 0.5000 0.8985

*b*
Compound: TbGdAsO
Source: OQMD via LeMat-Bulk
Functional: PBE
Structure: optimized geometry

Lattice parameters (Å, degrees): 4.3333 4.3333 8.9041 90.00 90.00 90.00
Sites, in units of the cell vectors:
Tb 0.7500 0.7500 0.8995
Tb 0.2500 0.2500 0.1005
As 0.2500 0.2500 0.7092
As 0.7500 0.7500 0.2908
O 0.7500 0.2500 0.0000
O 0.2500 0.7500 0.0000
Gd 0.7500 0.2500 0.5000
Gd 0.2500 0.7500 0.5000

*c*
Compound: TbGdAsO
Source: OQMD via LeMat-Bulk
Functional: PBE
Structure: optimized geometry

Lattice parameters (Å, degrees): 4.1917 7.6768 5.9430 90.00 90.00 90.00
Sites, in units of the cell vectors:
Gd 0.0000 0.2091 0.4382
Gd 0.0000 0.7909 0.9382
O 0.5000 0.6704 0.8778
O 0.5000 0.3296 0.3778
As 0.0000 0.1606 0.9299
As 0.0000 0.8394 0.4299
Tb 0.5000 0.6129 0.5081
Tb 0.5000 0.3871 0.0081

Decreasing stability: *c*, *a*, *b*

*a*
Compound: TbGdAsO
Source: OQMD via LeMat-Bulk
Functional: PBE
Structure: optimized geometry

Lattice parameters (Å, degrees): 4.3419 4.3419 8.8919 90.00 90.00 90.00
Sites, in units of the cell vectors:
As 0.2500 0.2500 0.7064
As 0.7500 0.7500 0.2936
Tb 0.2500 0.7500 0.5000
Tb 0.7500 0.2500 0.5000
O 0.7500 0.2500 0.0000
O 0.2500 0.7500 0.0000
Gd 0.2500 0.2500 0.1028
Gd 0.7500 0.7500 0.8972

*b*
Compound: TbGdAsO
Source: OQMD via LeMat-Bulk
Functional: PBE
Structure: optimized geometry

Lattice parameters (Å, degrees): 4.3299 4.3299 8.9378 90.00 90.00 90.00
Sites, in units of the cell vectors:
Tb 0.0000 0.5000 0.8994
Tb 0.5000 0.0000 0.1006
As 0.0000 0.5000 0.2913
As 0.5000 0.0000 0.7087
O 0.5000 0.5000 0.0000
O 0.0000 0.0000 0.0000
Gd 0.5000 0.5000 0.5000
Gd 0.0000 0.0000 0.5000

*c*
Compound: TbGdAsO
Source: OQMD via LeMat-Bulk
Functional: PBE
Structure: optimized geometry

Lattice parameters (Å, degrees): 4.1692 7.7478 5.8786 90.00 90.00 90.00
Sites, in units of the cell vectors:
O 0.5000 0.6736 0.8820
O 0.5000 0.3264 0.3820
As 0.0000 0.1570 0.9299
As 0.0000 0.8430 0.4299
Tb 0.0000 0.7921 0.9378
Tb 0.0000 0.2079 0.4378
Gd 0.5000 0.3864 0.0043
Gd 0.5000 0.6136 0.5043

Decreasing stability: *c*, *a*, *b*

*a*
Compound: GdTlAs
Source: OQMD via LeMat-Bulk
Functional: PBE
Structure: optimized geometry

Lattice parameters (Å, degrees): 4.9871 4.9871 4.9871 60.00 60.00 60.00
Sites, in units of the cell vectors:
Tl 0.7500 0.7500 0.7500
As 0.2500 0.2500 0.2500
Gd 0.0000 0.0000 0.0000

*b*
Compound: GdTlAs
Source: OQMD via LeMat-Bulk
Functional: PBE
Structure: optimized geometry

Lattice parameters (Å, degrees): 4.9871 4.9871 4.9871 60.00 60.00 60.00
Sites, in units of the cell vectors:
Tl 0.0000 0.0000 0.0000
Gd 0.7500 0.7500 0.7500
As 0.2500 0.2500 0.2500

Decreasing stability: *a*, *b*